Computed, not measured: an optimized crystal structure of NaTm4Mg5 at the PBE-GGA level of DFT.

It has space group P4/mmm (No. 123), with a = 3.708 Å, b = 3.708 Å, c = 19.561 Å, α = 90.00°, β = 90.00° and γ = 90.00°. The distinct sites, in fractional coordinates, are Na at (0.000, 0.000, 0.000), Tm at (0.000, 0.000, 0.211), Tm at (0.000, 0.000, 0.403), Mg at (0.500, 0.500, 0.109), Mg at (0.500, 0.500, 0.307) and Mg at (0.500, 0.500, 0.500).

As for the crystal system: tetragonal. Its density of states at the Fermi level is 1.118 states/eV/atom. For the density, the calculation gives 5.06 g/cm³. The value obtained for the final energy is -2.7311 eV/atom. The value obtained for the formation energy is -0.01 eV per atom.


Computed, not measured: an optimized crystal structure of NaMg2V at the PBE-GGA level of DFT.

It has space group Fm-3m (No. 225), with a = 7.133 Å, b = 7.133 Å, c = 7.133 Å, α = 90.00°, β = 90.00° and γ = 90.00°. The distinct sites, in fractional coordinates, are Na at (0.000, 0.000, 0.000), Mg at (0.250, 0.250, 0.250) and V at (0.000, 0.000, 0.500).

As for the crystal system: cubic. Its density of states at the Fermi level is 0.947 states/eV/atom. For the density, the calculation gives 2.24 g/cm³. The value obtained for the final energy is -2.8949 eV/atom. The value obtained for the formation energy is 0.51 eV per atom. The energy above the lowest structure with this stoichiometry is 0.000 eV per atom.


Computed, not measured: an optimized crystal structure of NaMgV3 at the PBE-GGA level of DFT.

It has space group Pm-3m (No. 221), with a = 5.094 Å, b = 5.094 Å, c = 5.094 Å, α = 90.00°, β = 90.00° and γ = 90.00°. The distinct sites, in fractional coordinates, are Na at (0.000, 0.000, 0.000), Mg at (0.500, 0.500, 0.500) and V at (0.000, 0.500, 0.500).

As for the crystal system: cubic. Its density of states at the Fermi level is 2.340 states/eV/atom. For the density, the calculation gives 2.51 g/cm³. The value obtained for the final energy is -4.2960 eV/atom. The value obtained for the formation energy is 1.76 eV per atom. The energy above the lowest structure with this stoichiometry is 0.000 eV per atom.


Computed, not measured: an optimized crystal structure of Na2MgV at the PBE-GGA level of DFT.

It has space group I-42d (No. 122), with a = 8.533 Å, b = 8.533 Å, c = 5.998 Å, α = 90.00°, β = 90.00° and γ = 90.00°. The distinct sites, in fractional coordinates, are Na at (0.249, 0.250, 0.125), Mg at (0.000, 0.000, 0.500) and V at (0.000, 0.000, 0.000).

As for the crystal system: tetragonal. Its density of states at the Fermi level is 0.984 states/eV/atom. For the density, the calculation gives 1.84 g/cm³. The value obtained for the final energy is -2.5100 eV/atom. The value obtained for the formation energy is 0.83 eV per atom.


Computed, not measured: an optimized crystal structure of NaMg14V at the PBE-GGA level of DFT.

It has space group Amm2 (No. 38), with a = 10.398 Å, b = 6.395 Å, c = 10.986 Å, α = 90.00°, β = 90.00° and γ = 90.00°. The distinct sites, in fractional coordinates, are Na at (0.000, 0.000, 0.000), Mg at (0.000, 0.248, 0.750), Mg at (0.240, 0.000, 0.336), Mg at (0.246, 0.244, 0.583), Mg at (0.254, 0.000, 0.833), Mg at (0.500, 0.000, 0.002), Mg at (0.500, 0.000, 0.500), Mg at (0.500, 0.248, 0.250) and V at (0.000, 0.000, 0.502).

As for the crystal system: orthorhombic. Its density of states at the Fermi level is 0.527 states/eV/atom. For the density, the calculation gives 1.88 g/cm³. The value obtained for the final energy is -1.9366 eV/atom. The value obtained for the formation energy is 0.11 eV per atom. The energy above the lowest structure with this stoichiometry is 0.013 eV per atom.


Computed, not measured: an optimized crystal structure of NaMgV2 at the PBE-GGA level of DFT.

It has space group I-42d (No. 122), with a = 7.682 Å, b = 7.682 Å, c = 5.106 Å, α = 90.00°, β = 90.00° and γ = 90.00°. The distinct sites, in fractional coordinates, are Na at (0.000, 0.000, 0.000), Mg at (0.000, 0.000, 0.500) and V at (0.246, 0.250, 0.625).

As for the crystal system: tetragonal. Its density of states at the Fermi level is 0.720 states/eV/atom. For the density, the calculation gives 3.29 g/cm³. The value obtained for the final energy is -4.0864 eV/atom. The value obtained for the formation energy is 1.20 eV per atom.